# PuNb4Te8, relaxed, DFT GGA-PBE
# N(E_F): 17.61 states/eV/f.u.
# Formation energy without anion corrections: -10.16 kcal/mol of atoms
# Space group: C2/m, No. 12
data_PuNb4Te8
_space_group_name_H-M_alt 'P 1'
_space_group_IT_number 1
_space_group_name_Hall 'P 1'
_cell_length_a 7.564
_cell_length_b 7.548
_cell_length_c 8.868
_cell_angle_alpha 90.06
_cell_angle_beta 115.26
_cell_angle_gamma 120.05
loop_
_atom_site_label
_atom_site_fract_x
_atom_site_fract_y
_atom_site_fract_z
Pu1 0.000 0.500 0.500
Nb1 0.000 0.000 0.000
Nb2 0.000 0.500 0.000
Nb3 0.500 0.500 0.000
Nb4 0.500 0.000 0.000
Te1 0.490 0.745 0.235
Te2 0.510 0.255 0.765
Te3 0.480 0.240 0.234
Te4 0.005 0.245 0.766
Te5 0.520 0.760 0.766
Te6 0.006 0.760 0.766
Te7 0.994 0.240 0.234
Te8 0.995 0.755 0.234

# PuThNb4, relaxed, DFT GGA-PBE
# N(E_F): 11.51 states/eV/f.u.
# Space group: F-43m, No. 216
# Calculated formation energy: 184 meV/atom
data_PuThNb4
_space_group_name_H-M_alt 'P 1'
_space_group_IT_number 1
_space_group_name_Hall 'P 1'
_cell_length_a 5.707
_cell_length_b 5.707
_cell_length_c 5.707
_cell_angle_alpha 60.00
_cell_angle_beta 60.00
_cell_angle_gamma 60.00
loop_
_atom_site_label
_atom_site_fract_x
_atom_site_fract_y
_atom_site_fract_z
Nb1 0.625 0.625 0.124
Nb2 0.625 0.124 0.625
Nb3 0.625 0.625 0.625
Nb4 0.124 0.625 0.625
Th1 0.250 0.250 0.250
Pu1 0.000 0.000 0.000

# PuTh2Nb, relaxed, DFT GGA-PBE
# N(E_F): 11.17 states/eV/f.u.
# Space group: R-3m, No. 166
# E above lowest polymorph: 0.317 eV per atom
# Calculated formation energy: 495 meV/atom
data_PuTh2Nb
_space_group_name_H-M_alt 'P 1'
_space_group_IT_number 1
_space_group_name_Hall 'P 1'
_cell_length_a 3.302
_cell_length_b 3.302
_cell_length_c 11.698
_cell_angle_alpha 81.89
_cell_angle_beta 81.89
_cell_angle_gamma 60.00
loop_
_atom_site_label
_atom_site_fract_x
_atom_site_fract_y
_atom_site_fract_z
Nb1 0.500 0.500 0.500
Th1 0.090 0.090 0.730
Th2 0.910 0.910 0.270
Pu1 0.000 0.000 0.000

# Pu2ThNb, relaxed, DFT GGA-PBE
# N(E_F): 9.62 states/eV/f.u.
# Space group: R-3m, No. 166
# E above lowest polymorph: 0.479 eV per atom
# Calculated formation energy: 770 meV/atom
data_Pu2ThNb
_space_group_name_H-M_alt 'P 1'
_space_group_IT_number 1
_space_group_name_Hall 'P 1'
_cell_length_a 4.587
_cell_length_b 4.587
_cell_length_c 5.893
_cell_angle_alpha 67.10
_cell_angle_beta 67.10
_cell_angle_gamma 60.00
loop_
_atom_site_label
_atom_site_fract_x
_atom_site_fract_y
_atom_site_fract_z
Nb1 0.500 0.500 0.500
Th1 0.000 0.000 0.000
Pu1 0.823 0.823 0.530
Pu2 0.177 0.177 0.470

# PuThNb, relaxed, DFT GGA-PBE
# N(E_F): 7.83 states/eV/f.u.
# Space group: I4mm, No. 107
# Calculated formation energy: 254 meV/atom
data_PuThNb
_space_group_name_H-M_alt 'P 1'
_space_group_IT_number 1
_space_group_name_Hall 'P 1'
_cell_length_a 3.791
_cell_length_b 3.791
_cell_length_c 5.753
_cell_angle_alpha 109.24
_cell_angle_beta 109.24
_cell_angle_gamma 90.00
loop_
_atom_site_label
_atom_site_fract_x
_atom_site_fract_y
_atom_site_fract_z
Nb1 0.678 0.678 0.357
Th1 0.002 0.002 0.004
Pu1 0.320 0.320 0.639

# PuTh2Nb, relaxed, DFT GGA-PBE
# N(E_F): 7.02 states/eV/f.u.
# Space group: P4/mmm, No. 123
# E above lowest polymorph: 0.000 eV per atom
# Calculated formation energy: 178 meV/atom
data_PuTh2Nb
_space_group_name_H-M_alt 'P 1'
_space_group_IT_number 1
_space_group_name_Hall 'P 1'
_cell_length_a 3.885
_cell_length_b 3.885
_cell_length_c 6.939
_cell_angle_alpha 90.00
_cell_angle_beta 90.00
_cell_angle_gamma 90.00
loop_
_atom_site_label
_atom_site_fract_x
_atom_site_fract_y
_atom_site_fract_z
Nb1 0.500 0.500 0.000
Th1 0.000 0.000 0.760
Th2 0.000 0.000 0.240
Pu1 0.500 0.500 0.500